Material: Fe2TeBr
Method: DFT, PBE-GGA
State: relaxed

## Properties
Fermi-level density of states in states/eV/atom: 0.7849
Energy above the lowest structure with this stoichiometry in eV per atom: 0.9793
Space group: F-43m, No. 216
Formation energy without anion corrections in meV per atom: 903
Magnetization in Bohr magnetons per cell: 6.5
Energy in eV for the cell shown: -18.13
Theoretical density in g cm⁻³: 6.650
Calculated volume in Å³/atom: 19.93

Lattice parameters (Å, degrees): 4.831 4.831 4.831 60.00 60.00 60.00
Site moments in Bohr magnetons follow the coordinates.
Fractional coordinates of all 4 atoms:
Br 0.500 0.500 0.500  0.12
Fe 0.250 0.250 0.250  3.13
Fe 0.000 0.000 0.000  3.02
Te 0.750 0.750 0.750  0.10